[1]
PBE Na2Mg2Ga2NiPd, optimized geometry; space group = No. 115; E_tot = -2.96 eV/atom
1.0
4.568 0.000 0.000
0.000 4.568 0.000
0.000 0.000 6.494
Na Mg Ga Ni Pd
2 2 2 1 1
direct
0.000 0.000 0.000
0.500 0.500 0.500
0.000 0.500 0.243
0.500 0.000 0.757
0.000 0.500 0.764
0.500 0.000 0.236
0.500 0.500 0.000
0.000 0.000 0.500


[2]
PBE Hf3Ag4As4, optimized geometry; space group = No. 6; E_tot = -5.74 eV/atom
1.0
6.687 0.000 0.000
0.000 3.856 0.000
-0.871 0.000 8.365
Hf Ag As
3 4 4
direct
0.000 0.000 0.000
0.130 0.500 0.344
0.467 0.000 0.866
0.128 0.500 0.720
0.450 0.000 0.276
0.697 0.500 0.134
0.809 0.000 0.614
0.293 0.500 0.044
0.309 0.000 0.562
0.753 0.500 0.830
0.856 0.000 0.314